Material: CeHfPd
Method: DFT, PBE
State: optimized geometry

Total DFT energy (no corrections) = -7.405 eV/atom
DOS at the Fermi energy = 1.82 states/eV/atom
Energy relative to the elements = -379 meV/atom
Relative energy among the computed polymorphs = 0 meV per atom
Spin magnetization = 0.0 μB/f.u.

a = 3.3087 Å, b = 3.3087 Å, c = 12.1708 Å
α = 90.00°, β = 90.00°, γ = 90.00°
With the nearest neighbours (Å) after each atom.
Space group I4mm (No. 107)
Unique sites:
Ce  0.0000  0.0000  0.0000  4 Pd 3.24, 4 Ce 3.31, 4 Hf 3.32
Hf  0.0000  0.0000  0.3063  4 Pd 2.77
Pd  0.0000  0.0000  0.6839  4 Hf 2.77